(1)
This record from Alexandria describes CeHoMnCd after structural relaxation. The functional is GGA-PBE.

The structure in POSCAR format:
```
CeHoMnCd
1.0
-2.766 -1.726 4.016
1.437 -4.313 2.467
1.939 0.282 4.787
Mn Ho Ce Cd
1 1 1 1
direct
0.250 0.250 0.250 Mn
0.500 0.500 0.500 Ho
0.000 0.000 0.000 Ce
0.750 0.750 0.750 Cd
```

ΔH_f (0 K) (eV per atom): 0.045
Space group: No. 216
ρ (Mg/m³): 8.02



(2)
This record from Alexandria describes FeMoRh2 after structural relaxation. The functional is GGA-PBE.

The structure in POSCAR format:
```
FeMoRh2
1.0
2.758 0.000 0.000
0.000 2.758 0.000
0.000 0.000 7.432
Mo Rh Fe
1 2 1
direct
0.500 0.500 0.750 Mo
0.000 0.000 0.007 Rh
0.000 0.000 0.493 Rh
0.500 0.500 0.250 Fe
```

ΔH_f (0 K) (eV per atom): -0.101
Energy above the lowest structure with this stoichiometry (meV per atom): 43
Space group: No. 123
ρ (Mg/m³): 10.50



Calculated final energy, -5.1042, -8.6004 eV per atom (same order as the records).
Calculated magnetization, 2.0, 3.2 μB per formula unit (same order as the records).